No. 1
The following is a PBE calculation of ZnCrAg2 after structural relaxation, from Alexandria.

Values from the calculation:
**Theoretical density**: 8.3 Mg/m³
**Formation enthalpy at 0 K**: 0.232 eV/atom
**Electronic total energy**: -3.92 eV per atom

```
ZnCrAg2
1.0
4.939 0.044 0.000
1.545 4.692 0.000
-3.242 -2.368 2.878
Zn Ag Cr
1 2 1
Direct
0.750 0.250 0.500
0.000 0.000 0.000
0.500 0.500 0.000
0.250 0.750 0.500
```

***

No. 2
The following is a PBE calculation of ZnCrAg3 after structural relaxation, from Alexandria.

Values from the calculation:
**Theoretical density**: 5.8 Mg/m³
**Polymorph energy (0 for the lowest one)**: 7.73 kcal/mol of atoms
**Formation enthalpy at 0 K**: 1.084 eV/atom
**Electronic total energy**: -2.81 eV per atom

```
ZnCrAg3
1.0
-0.582 4.483 2.192
-3.414 -1.967 3.117
3.639 -1.129 3.274
Cr Zn Ag
1 1 3
Direct
0.000 0.000 0.000
0.500 0.500 0.500
0.000 0.000 0.500
0.000 0.500 0.000
0.500 0.000 0.000
```

***

No. 3
The following is a PBE calculation of ZnCrAg2 after structural relaxation, from Alexandria.

Values from the calculation:
**Theoretical density**: 9.0 Mg/m³
**Formation enthalpy at 0 K**: 0.409 eV/atom
**Electronic total energy**: -3.74 eV per atom

```
ZnCrAg2
1.0
2.717 0.000 0.000
0.000 2.717 0.000
0.000 0.000 8.321
Ag Zn Cr
2 1 1
Direct
0.000 0.000 0.002
0.000 0.000 0.498
0.500 0.500 0.750
0.500 0.500 0.250
```

***

No. 4
The following is a PBE calculation of ZnCrAg2 after structural relaxation, from Alexandria.

Values from the calculation:
**Theoretical density**: 8.3 Mg/m³
**Formation enthalpy at 0 K**: 0.284 eV/atom
**Electronic total energy**: -3.87 eV per atom

```
ZnCrAg2
1.0
-8.179 -3.342 2.232
-6.817 -3.669 4.808
-8.054 -1.101 4.120
Cr Zn Ag
1 1 2
Direct
0.504 0.504 0.504
0.248 0.248 0.248
0.996 0.996 0.996
0.752 0.752 0.752
```

***

No. 5
The following is a PBE calculation of ZnCrAg2 after structural relaxation, from Alexandria.

Values from the calculation:
**Theoretical density**: 8.3 Mg/m³
**Formation enthalpy at 0 K**: 0.250 eV/atom
**Electronic total energy**: -3.90 eV per atom

```
ZnCrAg2
1.0
4.547 0.000 0.000
2.273 3.938 0.000
2.273 1.313 3.712
Cr Ag Zn
1 2 1
Direct
0.500 0.500 0.500
0.250 0.250 0.250
0.000 0.000 0.000
0.750 0.750 0.750
```

***

No. 6
The following is a PBE calculation of ZnCrAg2 after structural relaxation, from Alexandria.

Values from the calculation:
**Theoretical density**: 8.3 Mg/m³
**Formation enthalpy at 0 K**: 0.224 eV/atom
**Electronic total energy**: -3.93 eV per atom

```
ZnCrAg2
1.0
4.069 0.000 0.000
0.000 4.069 0.000
0.000 0.000 4.035
Cr Ag Zn
1 2 1
Direct
0.500 0.000 0.500
0.500 0.500 0.000
0.000 0.000 0.000
0.000 0.500 0.500
```

***

No. 7
The following is a PBE calculation of ZnCrAg2 after structural relaxation, from Alexandria.

Values from the calculation:
**Theoretical density**: 8.3 Mg/m³
**Formation enthalpy at 0 K**: 0.313 eV/atom
**Electronic total energy**: -3.84 eV per atom

```
ZnCrAg2
1.0
9.329 -0.084 -0.049
8.904 2.785 -0.049
8.904 1.319 2.453
Zn Ag Cr
1 2 1
Direct
0.250 0.250 0.250
0.501 0.501 0.501
0.999 0.999 0.999
0.750 0.750 0.750
```

***

No. 8
The following is a PBE calculation of ZnCr3Ag after structural relaxation, from Alexandria.

Values from the calculation:
**Theoretical density**: 5.1 Mg/m³
**Polymorph energy (0 for the lowest one)**: 0.00 kcal/mol of atoms
**Formation enthalpy at 0 K**: 1.284 eV/atom
**Electronic total energy**: -5.31 eV per atom

```
ZnCr3Ag
1.0
-4.297 1.112 -1.666
-0.389 -4.332 -1.888
-1.965 -1.575 4.017
Zn Cr Ag
1 3 1
Direct
0.000 0.000 0.000
0.000 0.000 0.500
0.500 0.000 0.000
0.000 0.500 0.000
0.500 0.500 0.500
```

***

No. 9
The following is a PBE calculation of Zn2CrAg2 after structural relaxation, from Alexandria.

Values from the calculation:
**Theoretical density**: 7.8 Mg/m³
**Formation enthalpy at 0 K**: 0.640 eV/atom
**Electronic total energy**: -2.93 eV per atom

```
Zn2CrAg2
1.0
3.742 0.000 0.000
0.000 3.742 0.000
1.871 1.871 6.080
Ag Zn Cr
2 2 1
Direct
0.250 0.750 0.500
0.750 0.250 0.500
0.405 0.405 0.190
0.595 0.595 0.810
0.000 0.000 0.000
```

***

No. 10
The following is a PBE calculation of ZrCrAg after structural relaxation, from Alexandria.

Values from the calculation:
**Theoretical density**: 6.6 Mg/m³
**Polymorph energy (0 for the lowest one)**: 11.20 kcal/mol of atoms
**Formation enthalpy at 0 K**: 0.723 eV/atom
**Electronic total energy**: -6.28 eV per atom

```
ZrCrAg
1.0
-0.520 4.009 -1.897
-4.002 1.981 0.028
-0.690 3.603 2.547
Zr Cr Ag
1 1 1
Direct
0.000 0.000 0.000
0.750 0.750 0.750
0.500 0.500 0.500
```

***

No. 11
The following is a PBE calculation of ZrCr2Ag after structural relaxation, from Alexandria.

Values from the calculation:
**Theoretical density**: 7.9 Mg/m³
**Polymorph energy (0 for the lowest one)**: 3.85 kcal/mol of atoms
**Formation enthalpy at 0 K**: 0.334 eV/atom
**Electronic total energy**: -7.33 eV per atom

```
ZrCr2Ag
1.0
-0.571 -2.706 0.419
1.474 0.443 -2.336
7.530 -0.879 4.584
Zr Ag Cr
1 1 2
Direct
0.000 0.000 0.478
0.500 0.500 0.772
0.500 0.500 0.215
0.000 0.000 0.035
```

***

No. 12
The following is a PBE calculation of ZrCr2Ag after structural relaxation, from Alexandria.

Values from the calculation:
**Theoretical density**: 7.3 Mg/m³
**Polymorph energy (0 for the lowest one)**: 3.30 kcal/mol of atoms
**Formation enthalpy at 0 K**: 0.309 eV/atom
**Electronic total energy**: -7.35 eV per atom

```
ZrCr2Ag
1.0
4.501 -0.936 0.000
0.910 4.506 0.000
-2.705 -1.785 3.260
Cr Ag Zr
2 1 1
Direct
0.250 0.750 0.500
0.000 0.000 0.000
0.750 0.250 0.500
0.500 0.500 0.000
```

***

No. 13
The following is a PBE calculation of ZrCr2Ag after structural relaxation, from Alexandria.

Values from the calculation:
**Theoretical density**: 7.4 Mg/m³
**Polymorph energy (0 for the lowest one)**: 5.02 kcal/mol of atoms
**Formation enthalpy at 0 K**: 0.384 eV/atom
**Electronic total energy**: -7.28 eV per atom

```
ZrCr2Ag
1.0
-1.900 -2.064 -1.989
3.692 -1.040 -2.448
0.835 -3.353 2.683
Cr Ag Zr
2 1 1
Direct
0.500 0.500 0.000
0.000 0.000 0.000
0.000 0.500 0.500
0.500 0.000 0.500
```

***

No. 14
The following is a PBE calculation of ZrCr2Ag after structural relaxation, from Alexandria.

Values from the calculation:
**Theoretical density**: 7.1 Mg/m³
**Polymorph energy (0 for the lowest one)**: 6.24 kcal/mol of atoms
**Formation enthalpy at 0 K**: 0.437 eV/atom
**Electronic total energy**: -7.22 eV per atom

```
ZrCr2Ag
1.0
-2.343 -1.830 -1.458
2.204 -1.032 -2.246
1.532 -4.980 3.792
Zr Ag Cr
1 1 2
Direct
0.500 0.500 0.250
0.500 0.500 0.750
0.000 0.000 0.991
0.000 0.000 0.509
```

***

No. 15
The following is a PBE calculation of ZrCrAg after structural relaxation, from Alexandria.

Values from the calculation:
**Theoretical density**: 7.5 Mg/m³
**Polymorph energy (0 for the lowest one)**: 0.00 kcal/mol of atoms
**Formation enthalpy at 0 K**: 0.237 eV/atom
**Electronic total energy**: -6.77 eV per atom

```
ZrCrAg
1.0
-1.728 -5.758 -0.105
0.289 -5.544 2.309
-2.408 -0.178 2.027
Zr Ag Cr
1 1 1
Direct
0.679 0.679 0.321
0.987 0.987 0.013
0.334 0.334 0.666
```

***

No. 16
The following is a PBE calculation of ZrCrAg after structural relaxation, from Alexandria.

Values from the calculation:
**Theoretical density**: 6.3 Mg/m³
**Polymorph energy (0 for the lowest one)**: 15.51 kcal/mol of atoms
**Formation enthalpy at 0 K**: 0.910 eV/atom
**Electronic total energy**: -6.10 eV per atom

```
ZrCrAg
1.0
4.551 0.000 0.000
2.276 3.941 0.000
2.276 1.314 3.716
Zr Cr Ag
1 1 1
Direct
0.750 0.750 0.750
0.500 0.500 0.500
0.000 0.000 0.000
```

***

No. 17
The following is a PBE calculation of ZrCrAg after structural relaxation, from Alexandria.

Values from the calculation:
**Theoretical density**: 7.3 Mg/m³
**Polymorph energy (0 for the lowest one)**: 2.67 kcal/mol of atoms
**Formation enthalpy at 0 K**: 0.353 eV/atom
**Electronic total energy**: -6.65 eV per atom

```
ZrCrAg
1.0
-1.687 -3.830 -2.170
4.638 0.843 0.027
0.266 -1.544 2.519
Ag Cr Zr
1 1 1
Direct
0.000 0.000 0.143
0.333 0.667 0.191
0.667 0.333 0.666
```

***

No. 18
The following is a PBE calculation of ZrCr2Ag after structural relaxation, from Alexandria.

Values from the calculation:
**Theoretical density**: 7.4 Mg/m³
**Polymorph energy (0 for the lowest one)**: 8.00 kcal/mol of atoms
**Formation enthalpy at 0 K**: 0.513 eV/atom
**Electronic total energy**: -7.15 eV per atom

```
ZrCr2Ag
1.0
4.568 0.000 0.000
0.000 2.942 -0.002
0.000 0.341 5.070
Ag Cr Zr
1 2 1
Direct
0.500 0.750 0.750
0.000 0.910 0.063
0.000 0.590 0.437
0.500 0.250 0.250
```

***

No. 19
The following is a PBE calculation of Zr2Cr2Ag after structural relaxation, from Alexandria.

Values from the calculation:
**Theoretical density**: 7.3 Mg/m³
**Formation enthalpy at 0 K**: 0.191 eV/atom
**Electronic total energy**: -7.65 eV per atom

```
Zr2Cr2Ag
1.0
-1.787 2.100 -6.195
-6.331 -2.172 1.090
-0.944 3.482 1.453
Cr Zr Ag
4 4 2
Direct
0.604 0.104 0.000
0.104 0.396 0.000
0.896 0.604 0.000
0.396 0.896 0.000
0.182 0.682 0.500
0.318 0.182 0.500
0.682 0.818 0.500
0.818 0.318 0.500
0.000 0.000 0.000
0.500 0.500 0.000
```

***

No. 20
The following is a PBE calculation of ZrCr2Ag after structural relaxation, from Alexandria.

Values from the calculation:
**Theoretical density**: 7.9 Mg/m³
**Polymorph energy (0 for the lowest one)**: 9.76 kcal/mol of atoms
**Formation enthalpy at 0 K**: 0.590 eV/atom
**Electronic total energy**: -7.07 eV per atom

```
ZrCr2Ag
1.0
5.123 -0.004 -0.012
2.158 4.647 0.012
-3.281 -2.884 2.676
Ag Cr Zr
1 2 1
Direct
0.750 0.250 0.500
0.006 0.006 0.000
0.494 0.494 0.000
0.250 0.750 0.500
```